# 1
Material: Ca2TbPr
Method: DFT, PBE
State: optimized geometry

The crystal system is trigonal. For the total magnetization, the calculation gives 0.00 μB per formula unit. The value obtained for the total energy is -3.311 eV per atom. The density of states at the Fermi level comes out at 1.371 states/eV per atom. For the formation energy, the calculation gives 0.04 eV/atom.

The structure belongs to space group R3m (No. 160, hexagonal axes); the cell edges are 3.7466, 3.7466 and 37.1130 Å and the angles 90.00°, 90.00° and 120.00°. Symmetry generates all atoms from Ca at (0.0000, 0.0000, 0.0000), Ca at (0.0000, 0.0000, 0.4216), Tb at (0.0000, 0.0000, 0.5837) and Pr at (0.0000, 0.0000, 0.8418).

---

# 2
Material: CaTb15Pr4
Method: DFT, PBE
State: optimized geometry

The crystal system is tetragonal. For the total magnetization, the calculation gives 0.00 μB per formula unit. The value obtained for the total energy is -4.491 eV per atom. The density of states at the Fermi level comes out at 1.447 states/eV per atom. For the formation energy, the calculation gives 0.04 eV/atom.

The structure belongs to space group P4/mmm (No. 123); the cell edges are 5.103, 5.103 and 25.451 Å and the angles 90.00°, 90.00° and 90.00°. Symmetry generates all atoms from Ca at (0.000, 0.000, 0.000), Tb at (0.000, 0.500, 0.103), Tb at (0.000, 0.500, 0.301), Tb at (0.000, 0.500, 0.500), Tb at (0.500, 0.500, 0.000), Tb at (0.500, 0.500, 0.200), Tb at (0.500, 0.500, 0.400), Pr at (0.000, 0.000, 0.200) and Pr at (0.000, 0.000, 0.400).

---

# 3
Material: Ca2Tb5Pr12
Method: DFT, PBE
State: optimized geometry

The crystal system is monoclinic. For the total magnetization, the calculation gives 0.00 μB per formula unit. The value obtained for the total energy is -4.319 eV per atom. The density of states at the Fermi level comes out at 1.310 states/eV per atom. For the formation energy, the calculation gives 0.13 eV/atom.

The structure belongs to space group C2/m (No. 12); the cell edges are 16.565, 10.344 and 8.043 Å and the angles 90.00°, 90.04° and 90.00°. Symmetry generates all atoms from Ca at (0.000, 0.211, 0.000), Tb at (0.000, 0.000, 0.500), Tb at (0.148, 0.500, 0.907), Tb at (0.247, 0.000, 0.499), Pr at (0.054, 0.500, 0.300), Pr at (0.106, 0.267, 0.609), Pr at (0.170, 0.000, 0.880) and Pr at (0.197, 0.236, 0.205).

---

# 4
Material: Ca2Tb5Pr4
Method: DFT, PBE
State: optimized geometry

The crystal system is triclinic. For the total magnetization, the calculation gives 0.00 μB per formula unit. The value obtained for the total energy is -4.148 eV per atom. The density of states at the Fermi level comes out at 1.346 states/eV per atom. For the formation energy, the calculation gives 0.06 eV/atom.

The structure belongs to space group P-1 (No. 2); the cell edges are 6.374, 8.187 and 8.195 Å and the angles 107.48°, 105.17° and 97.52°. Symmetry generates all atoms from Ca at (0.135, 0.230, 0.045), Tb at (0.325, 0.862, 0.767), Tb at (0.416, 0.686, 0.140), Tb at (0.500, 0.500, 0.500), Pr at (0.049, 0.409, 0.672) and Pr at (0.235, 0.048, 0.422).

---

# 5
Material: Ca2Tb5Pr6
Method: DFT, PBE
State: optimized geometry

The crystal system is orthorhombic. For the total magnetization, the calculation gives 0.00 μB per formula unit. The value obtained for the total energy is -4.161 eV per atom. The density of states at the Fermi level comes out at 1.461 states/eV per atom. For the formation energy, the calculation gives 0.13 eV/atom.

The structure belongs to space group Pbam (No. 55); the cell edges are 12.204, 20.881 and 3.615 Å and the angles 90.00°, 90.00° and 90.00°. Symmetry generates all atoms from Ca at (0.164, 0.215, 0.000), Tb at (0.000, 0.500, 0.500), Tb at (0.096, 0.780, 0.500), Tb at (0.211, 0.050, 0.500), Pr at (0.047, 0.922, 0.000), Pr at (0.071, 0.638, 0.000) and Pr at (0.188, 0.380, 0.500).

---

# 6
Material: CaTb3Pr
Method: DFT, PBE
State: optimized geometry

The crystal system is orthorhombic. For the total magnetization, the calculation gives 0.00 μB per formula unit. The value obtained for the total energy is -3.803 eV per atom. The density of states at the Fermi level comes out at 1.747 states/eV per atom. For the formation energy, the calculation gives 0.33 eV/atom.

The structure belongs to space group Cmcm (No. 63); the cell edges are 6.805, 17.617 and 6.422 Å and the angles 90.00°, 90.00° and 90.00°. Symmetry generates all atoms from Ca at (0.000, 0.189, 0.250), Tb at (0.000, 0.000, 0.000), Tb at (0.244, 0.369, 0.250) and Pr at (0.000, 0.439, 0.750).

---

# 7
Material: CaTb2Pr2
Method: DFT, PBE
State: optimized geometry

The crystal system is trigonal. For the total magnetization, the calculation gives 0.00 μB per formula unit. The value obtained for the total energy is -4.110 eV per atom. The density of states at the Fermi level comes out at 1.712 states/eV per atom. For the formation energy, the calculation gives 0.05 eV/atom.

The structure belongs to space group R-3m (No. 166, hexagonal axes); the cell edges are 3.6733, 3.6733 and 45.4750 Å and the angles 90.00°, 90.00° and 120.00°. Symmetry generates all atoms from Ca at (0.0000, 0.0000, 0.0000), Tb at (0.0000, 0.0000, 0.4023) and Pr at (0.0000, 0.0000, 0.2010).

---

# 8
Material: CaTbPr2
Method: DFT, PBE
State: optimized geometry

The crystal system is trigonal. For the total magnetization, the calculation gives 0.00 μB per formula unit. The value obtained for the total energy is -4.017 eV per atom. The density of states at the Fermi level comes out at 1.295 states/eV per atom. For the formation energy, the calculation gives 0.03 eV/atom.

The structure belongs to space group R3m (No. 160, hexagonal axes); the cell edges are 3.6858, 3.6858 and 36.8180 Å and the angles 90.00°, 90.00° and 120.00°. Symmetry generates all atoms from Ca at (0.0000, 0.0000, 0.0000), Tb at (0.0000, 0.0000, 0.1664), Pr at (0.0000, 0.0000, 0.5785) and Pr at (0.0000, 0.0000, 0.7546).

---

# 9
Material: CaTbPr2
Method: DFT, PBE
State: optimized geometry

The crystal system is tetragonal. For the total magnetization, the calculation gives 0.00 μB per formula unit. The value obtained for the total energy is -3.964 eV per atom. The density of states at the Fermi level comes out at 1.512 states/eV per atom. For the formation energy, the calculation gives 0.08 eV/atom.

The structure belongs to space group P4/mmm (No. 123); the cell edges are 5.297, 5.297 and 5.086 Å and the angles 90.00°, 90.00° and 90.00°. Symmetry generates all atoms from Ca at (0.000, 0.000, 0.000), Tb at (0.500, 0.500, 0.000) and Pr at (0.000, 0.500, 0.500).

---

# 10
Material: CaTb2Pr3
Method: DFT, PBE
State: optimized geometry

The crystal system is monoclinic. For the total magnetization, the calculation gives 0.00 μB per formula unit. The value obtained for the total energy is -4.082 eV per atom. The density of states at the Fermi level comes out at 1.606 states/eV per atom. For the formation energy, the calculation gives 0.18 eV/atom.

The structure belongs to space group C2/m (No. 12); the cell edges are 12.436, 10.210 and 6.772 Å and the angles 90.00°, 90.12° and 90.00°. Symmetry generates all atoms from Ca at (0.020, 0.000, 0.250), Tb at (0.000, 0.328, 0.000), Tb at (0.000, 0.328, 0.500), Pr at (0.213, 0.500, 0.751) and Pr at (0.246, 0.171, 0.750).

---

# 11
Material: CaTb5Pr6
Method: DFT, PBE
State: optimized geometry

The crystal system is monoclinic. For the total magnetization, the calculation gives 0.00 μB per formula unit. The value obtained for the total energy is -4.458 eV per atom. The density of states at the Fermi level comes out at 1.252 states/eV per atom. For the formation energy, the calculation gives 0.03 eV/atom.

The structure belongs to space group C2/m (No. 12); the cell edges are 12.052, 11.028 and 6.344 Å and the angles 90.00°, 100.26° and 90.00°. Symmetry generates all atoms from Ca at (0.000, 0.000, 0.000), Tb at (0.000, 0.171, 0.500), Tb at (0.000, 0.338, 0.000), Tb at (0.000, 0.500, 0.500), Pr at (0.247, 0.330, 0.748) and Pr at (0.248, 0.500, 0.258).

---

# 12
Material: CaTb2Pr5
Method: DFT, PBE
State: optimized geometry

The crystal system is orthorhombic. For the total magnetization, the calculation gives 0.01 μB per formula unit. The value obtained for the total energy is -4.163 eV per atom. The density of states at the Fermi level comes out at 1.864 states/eV per atom. For the formation energy, the calculation gives 0.23 eV/atom.

The structure belongs to space group Imma (No. 74); the cell edges are 6.115, 11.738 and 16.348 Å and the angles 90.00°, 90.00° and 90.00°. Symmetry generates all atoms from Ca at (0.000, 0.250, 0.095), Tb at (0.000, 0.000, 0.500), Tb at (0.250, 0.250, 0.750), Pr at (0.000, 0.064, 0.894), Pr at (0.000, 0.081, 0.305) and Pr at (0.000, 0.250, 0.551).

---

# 13
Material: CaTb4Pr3
Method: DFT, PBE
State: optimized geometry

The crystal system is monoclinic. For the total magnetization, the calculation gives 0.00 μB per formula unit. The value obtained for the total energy is -4.138 eV per atom. The density of states at the Fermi level comes out at 1.574 states/eV per atom. For the formation energy, the calculation gives 0.22 eV/atom.

The structure belongs to space group C2/m (No. 12); the cell edges are 26.560, 5.802 and 3.649 Å and the angles 90.00°, 90.09° and 90.00°. Symmetry generates all atoms from Ca at (0.000, 0.000, 0.000), Tb at (0.105, 0.000, 0.500), Tb at (0.224, 0.000, 0.499), Pr at (0.000, 0.500, 0.500) and Pr at (0.154, 0.500, 0.000).

---

# 14
Material: CaTbPr2
Method: DFT, PBE
State: optimized geometry

The crystal system is tetragonal. For the total magnetization, the calculation gives 0.00 μB per formula unit. The value obtained for the total energy is -4.011 eV per atom. The density of states at the Fermi level comes out at 1.448 states/eV per atom. For the formation energy, the calculation gives 0.04 eV/atom.

The structure belongs to space group P4/mmm (No. 123); the cell edges are 3.688, 3.688 and 10.627 Å and the angles 90.00°, 90.00° and 90.00°. Symmetry generates all atoms from Ca at (0.000, 0.000, 0.000), Tb at (0.000, 0.000, 0.500) and Pr at (0.500, 0.500, 0.265).

---

# 15
Material: Ca2Tb3Pr6
Method: DFT, PBE
State: optimized geometry

The crystal system is trigonal. For the total magnetization, the calculation gives 0.00 μB per formula unit. The value obtained for the total energy is -4.211 eV per atom. The density of states at the Fermi level comes out at 1.196 states/eV per atom. For the formation energy, the calculation gives 0.02 eV/atom.

The structure belongs to space group R-3m (No. 166, hexagonal axes); the cell edges are 3.6859, 3.6859 and 100.3104 Å and the angles 90.00°, 90.00° and 120.00°. Symmetry generates all atoms from Ca at (0.0000, 0.0000, 0.0469), Tb at (0.0000, 0.0000, 0.2254), Tb at (0.0000, 0.0000, 0.5000), Pr at (0.0000, 0.0000, 0.1374), Pr at (0.0000, 0.0000, 0.3188) and Pr at (0.0000, 0.0000, 0.4125).

---

# 16
Material: CaTb6Pr2
Method: DFT, PBE
State: optimized geometry

The crystal system is triclinic. For the total magnetization, the calculation gives 0.00 μB per formula unit. The value obtained for the total energy is -4.333 eV per atom. The density of states at the Fermi level comes out at 1.368 states/eV per atom. For the formation energy, the calculation gives 0.04 eV/atom.

The structure belongs to space group P-1 (No. 2); the cell edges are 7.285, 9.053 and 9.624 Å and the angles 103.29°, 100.79° and 90.01°. Symmetry generates all atoms from Ca at (0.212, 0.335, 0.356), Tb at (0.043, 0.327, 0.687), Tb at (0.085, 0.004, 0.835), Tb at (0.122, 0.666, 0.984), Tb at (0.248, 0.991, 0.503), Tb at (0.284, 0.670, 0.650), Tb at (0.451, 0.672, 0.316), Pr at (0.378, 0.335, 0.016) and Pr at (0.420, 0.995, 0.167).

---

# 17
Material: CaTb2Pr4
Method: DFT, PBE
State: optimized geometry

The crystal system is trigonal. For the total magnetization, the calculation gives 0.00 μB per formula unit. The value obtained for the total energy is -4.320 eV per atom. The density of states at the Fermi level comes out at 1.329 states/eV per atom. For the formation energy, the calculation gives 0.02 eV/atom.

The structure belongs to space group R-3m (No. 166, hexagonal axes); the cell edges are 3.6761, 3.6761 and 63.7462 Å and the angles 90.00°, 90.00° and 120.00°. Symmetry generates all atoms from Ca at (0.0000, 0.0000, 0.0000), Tb at (0.0000, 0.0000, 0.4295), Pr at (0.0000, 0.0000, 0.1428) and Pr at (0.0000, 0.0000, 0.2824).

---

# 18
Material: Ca2TbPr
Method: DFT, PBE
State: optimized geometry

The crystal system is cubic. For the total magnetization, the calculation gives 0.00 μB per formula unit. The value obtained for the total energy is -3.215 eV per atom. The density of states at the Fermi level comes out at 1.372 states/eV per atom. For the formation energy, the calculation gives 0.14 eV/atom.

The structure belongs to space group Fm-3m (No. 225); the cell edges are 8.381, 8.381 and 8.381 Å and the angles 90.00°, 90.00° and 90.00°. Symmetry generates all atoms from Ca at (0.250, 0.250, 0.250), Tb at (0.000, 0.000, 0.000) and Pr at (0.000, 0.000, 0.500).

---

# 19
Material: Ca2TbPr
Method: DFT, PBE
State: optimized geometry

The crystal system is trigonal. For the total magnetization, the calculation gives 0.62 μB per formula unit. The value obtained for the total energy is -3.122 eV per atom. The density of states at the Fermi level comes out at 1.738 states/eV per atom. For the formation energy, the calculation gives 0.23 eV/atom.

The structure belongs to space group R-3m (No. 166, hexagonal axes); the cell edges are 3.6059, 3.6059 and 39.8672 Å and the angles 90.00°, 90.00° and 120.00°. Symmetry generates all atoms from Ca at (0.0000, 0.0000, 0.0869), Tb at (0.0000, 0.0000, 0.0000) and Pr at (0.0000, 0.0000, 0.5000).

---

# 20
Material: CaTb8Pr2
Method: DFT, PBE
State: optimized geometry

The crystal system is monoclinic. For the total magnetization, the calculation gives 0.00 μB per formula unit. The value obtained for the total energy is -4.256 eV per atom. The density of states at the Fermi level comes out at 1.457 states/eV per atom. For the formation energy, the calculation gives 0.16 eV/atom.

The structure belongs to space group C2/m (No. 12); the cell edges are 18.137, 7.277 and 6.108 Å and the angles 90.00°, 108.96° and 90.00°. Symmetry generates all atoms from Ca at (0.000, 0.000, 0.000), Tb at (0.006, 0.500, 0.246), Tb at (0.128, 0.229, 0.640), Tb at (0.189, 0.500, 0.171) and Pr at (0.203, 0.000, 0.228).

---

# 21
Material: Ca2Tb2Pr3
Method: DFT, PBE
State: optimized geometry

The crystal system is monoclinic. For the total magnetization, the calculation gives 0.00 μB per formula unit. The value obtained for the total energy is -3.885 eV per atom. The density of states at the Fermi level comes out at 1.401 states/eV per atom. For the formation energy, the calculation gives 0.06 eV/atom.

The structure belongs to space group C2/m (No. 12); the cell edges are 11.612, 5.215 and 8.440 Å and the angles 90.00°, 98.35° and 90.00°. Symmetry generates all atoms from Ca at (0.142, 0.000, 0.428), Tb at (0.216, 0.500, 0.131), Pr at (0.000, 0.000, 0.000) and Pr at (0.072, 0.500, 0.734).